Material: NiIrCl
Method: DFT, GGA-PBE
State: optimized geometry

Its energy relative to the lowest polymorph listed for this composition is 0.0745 eV/atom. The crystal system is orthorhombic. The raw formation energy is 0.5074 eV/atom.

The structure belongs to space group Fmm2 (No. 42); the cell edges are 2.802, 5.117 and 12.351 Å and the angles 90.00°, 90.00° and 90.00°. The asymmetric unit holds Ni at (0.000, 0.000, 0.000), Ir at (0.000, 0.000, 0.338) and Cl at (0.000, 0.000, 0.647).

Material: AlSi2Te
Method: DFT, GGA-PBE
State: optimized geometry

Its energy relative to the lowest polymorph listed for this composition is 0.4348 eV/atom. The crystal system is tetragonal. The raw formation energy is 0.5689 eV/atom.

The structure belongs to space group P4/mmm (No. 123); the cell edges are 4.289, 4.289 and 4.290 Å and the angles 90.00°, 90.00° and 90.00°. The asymmetric unit holds Al at (0.000, 0.000, 0.000), Si at (0.000, 0.500, 0.500) and Te at (0.500, 0.500, 0.000).

Material: Ce4ThP5
Method: DFT, GGA-PBE
State: optimized geometry

The calculation puts the formation energy from the elements at -1.517 eV per atom. The crystal system is orthorhombic.

The structure belongs to space group Immm (No. 71); the cell edges are 4.106, 5.806 and 20.518 Å and the angles 90.00°, 90.00° and 90.00°. The asymmetric unit holds Ce at (0.000, 0.000, 0.101), Ce at (0.000, 0.000, 0.299), Th at (0.000, 0.000, 0.500), P at (0.000, 0.500, 0.101), P at (0.000, 0.500, 0.300) and P at (0.000, 0.500, 0.500).

Material: Er4TlZn
Method: DFT, GGA-PBE
State: optimized geometry

The calculation puts the formation energy from the elements at 0.000 eV per atom. Its energy relative to the lowest polymorph listed for this composition is 0.2176 eV/atom. The crystal system is tetragonal.

The structure belongs to space group P4/mmm (No. 123); the cell edges are 4.988, 4.988 and 7.204 Å and the angles 90.00°, 90.00° and 90.00°. The asymmetric unit holds Er at (0.000, 0.500, 0.235), Tl at (0.000, 0.000, 0.500) and Zn at (0.500, 0.500, 0.000).